Record 1
Density functional theory data (PBEsol) for a relaxed Na2LiRhF crystal.

Unit cell a=5.480 b=5.480 c=4.585 alpha=90.00 beta=90.00 gamma=90.00
Sites, in units of the cell vectors:
1 Na 0.000 0.500 0.000
2 Na 0.500 0.000 0.000
3 Li 0.000 0.000 0.500
4 Rh 0.000 0.000 0.000
5 F 0.500 0.500 0.500

crystal system: tetragonal
uncorrected formation energy: 95 meV per atom
total DFT energy (no corrections): -2.872 eV per atom

---

Record 2
Density functional theory data (PBEsol) for a relaxed BeAu2Se crystal.

Unit cell a=6.233 b=6.233 c=6.233 alpha=150.02 beta=147.49 gamma=44.81
Sites, in units of the cell vectors:
1 Be 0.000 0.000 0.000
2 Au 0.185 0.685 0.500
3 Au 0.815 0.315 0.500
4 Se 0.500 0.500 0.000

crystal system: orthorhombic
uncorrected formation energy: 74 meV per atom
E above lowest polymorph: 50 meV per atom
total DFT energy (no corrections): -3.851 eV per atom

---

Record 3
Density functional theory data (PBEsol) for a relaxed AlCrIn2 crystal.

Unit cell a=5.000 b=5.000 c=5.040 alpha=99.93 beta=99.93 gamma=37.93
Sites, in units of the cell vectors:
1 Al 0.000 0.000 0.000
2 Cr 0.500 0.500 0.500
3 In 0.246 0.246 0.744
4 In 0.754 0.754 0.256

crystal system: monoclinic
E_form: 0.33 eV per atom
total DFT energy (no corrections): -4.741 eV per atom

---

Record 4
Density functional theory data (PBEsol) for a relaxed MgAlIO2 crystal.

Unit cell a=3.784 b=3.784 c=5.546 alpha=90.00 beta=90.00 gamma=90.00
Sites, in units of the cell vectors:
1 Mg 0.000 0.000 0.000
2 Al 0.500 0.500 0.500
3 I 0.500 0.500 0.000
4 O 0.000 0.500 0.500
5 O 0.500 0.000 0.500

crystal system: tetragonal
uncorrected formation energy: -1159 meV per atom
total DFT energy (no corrections): -4.774 eV per atom

---

no.,DOS at the Fermi energy (states/eV/atom)
1,1.594
2,0.256
3,0.552
4,0.237